Record 1
Crystalline KLiTe2 at its relaxed geometry, computed with GGA-PBE.

```
KLiTe2
1.0
5.6082 0.0000 0.0000
2.8041 4.8568 0.0000
2.8041 1.6189 4.5791
Te Li K
2 1 1
Cartesian
0.0000 0.0000 0.0000 Te
2.8041 1.6189 1.1448 Te
8.4123 4.8568 3.4343 Li
5.6082 3.2379 2.2895 K
```

Summary:
energy above the most stable polymorph in this dataset	2.039	eV/f.u.
total magnetic moment	0.000	μB per cell
final energy	-10.43	eV for the cell shown
DOS(E_F)	0.9696	states/eV per atom

=====

Record 2
Crystalline K2LiTe at its relaxed geometry, computed with GGA-PBE.

```
K2LiTe
1.0
4.7929 0.0000 0.0000
0.0000 5.1605 0.0225
0.0000 2.5478 6.5808
K Te Li
2 1 1
Cartesian
2.3965 2.2453 2.1021 K
0.0000 7.3902 5.9417 K
2.3965 4.8147 4.8723 Te
0.0000 4.8206 3.5923 Li
```

Summary:
total magnetic moment	0.771	μB per cell
final energy	-9.86	eV for the cell shown
DOS(E_F)	0.3671	states/eV per atom

=====

Record 3
Crystalline K2LiTe2 at its relaxed geometry, computed with GGA-PBE.

```
K2LiTe2
1.0
9.5461 0.0000 0.0000
0.0000 9.5461 0.0000
0.0000 0.0000 3.9472
K Te Li
4 4 2
Cartesian
5.9393 8.3797 1.9736 K
3.6067 1.1663 1.9736 K
8.3797 3.6067 1.9736 K
1.1663 5.9393 1.9736 K
3.0632 7.8362 0.0000 Te
1.7099 3.0632 0.0000 Te
7.8362 6.4829 0.0000 Te
6.4829 1.7099 0.0000 Te
0.0000 0.0000 0.0000 Li
4.7730 4.7730 0.0000 Li
```

Summary:
energy above the most stable polymorph in this dataset	1.309	eV/f.u.
total magnetic moment	0.000	μB per cell
final energy	-27.48	eV for the cell shown
DOS(E_F)	0.1941	states/eV per atom

=====

Record 4
Crystalline KLiTe2 at its relaxed geometry, computed with GGA-PBE.

```
KLiTe2
1.0
-4.6556 1.5627 3.2609
-0.6224 -5.5830 1.7869
2.7746 -0.3886 9.4760
Te K Li
4 2 2
Cartesian
-1.4471 -0.1026 4.0373 Te
-0.0115 -2.8145 9.3249 Te
-2.4241 -2.7938 11.1988 Te
-1.1240 -3.1069 4.4865 Te
-2.2600 -0.4180 7.6304 K
0.0000 0.0000 0.0000 K
-0.2434 -3.9908 6.8934 Li
-2.6390 -2.0102 2.5239 Li
```

Summary:
energy above the most stable polymorph in this dataset	0.085	eV/f.u.
total magnetic moment	0.000	μB per cell
final energy	-24.77	eV for the cell shown
DOS(E_F)	0.0000	states/eV per atom

=====

Record 5
Crystalline K2LiTe at its relaxed geometry, computed with GGA-PBE.

```
K2LiTe
1.0
4.6954 0.0000 0.0000
0.0000 4.6938 0.0153
0.0000 4.6997 6.8678
Te K Li
1 2 1
Cartesian
2.3477 7.0451 5.1624 Te
0.0000 4.6958 6.6708 K
0.0000 4.7006 3.6386 K
2.3477 2.3484 1.7208 Li
```

Summary:
total magnetic moment	0.624	μB per cell
final energy	-9.02	eV for the cell shown
DOS(E_F)	0.4017	states/eV per atom

=====

Record 6
Crystalline K2LiTe at its relaxed geometry, computed with GGA-PBE.

```
K2LiTe
1.0
-4.7424 1.1170 3.3233
-3.5381 -4.4139 1.6678
-0.1174 -1.7142 5.6418
Li K Te
1 2 1
Cartesian
-4.1989 -2.5056 5.3164 Li
-2.0995 -1.2528 2.6582 K
0.0000 0.0000 0.0000 K
-6.2984 -3.7584 7.9746 Te
```

Summary:
total magnetic moment	0.008	μB per cell
final energy	-8.93	eV for the cell shown
DOS(E_F)	0.5713	states/eV per atom